[1]
VASP calculation (PBE-GGA) on an optimized crystal structure of BaMgSiO4.

Results
Its total energy is -47.81 eV/f.u. Its uncorrected formation energy is -2720 meV per atom.

abc: 5.7030 5.7030 5.7030
angles: 60.00 60.00 60.00
Closest atoms and distances in Å follow each position.
Positions (direct):
Ba  0.7500  0.7500  0.7500  12 O 3.37, 4 Mg 3.49
O  0.3666  0.3666  0.9002  1 Si 1.63
O  0.3666  0.9002  0.3666  1 Si 1.63
O  0.3666  0.3666  0.3666  1 Si 1.63
O  0.9002  0.3666  0.3666  1 Si 1.63
Mg  0.5000  0.5000  0.5000  4 O 1.86
Si  0.2500  0.2500  0.2500  4 O 1.63

---

[2]
VASP calculation (PBE-GGA) on an optimized crystal structure of BaMgSn4O8.

Results
Its total energy is -82.61 eV/f.u. Its uncorrected formation energy is -1673 meV per atom.

abc: 5.9854 5.9854 6.9453
angles: 90.00 90.00 120.00
Closest atoms and distances in Å follow each position.
Positions (direct):
O  0.3333  0.6667  0.0000  2 Sn 2.02
O  0.0000  0.7103  0.6950  2 Sn 2.14, 1 Mg 2.20
O  0.0000  0.2897  0.3050  2 Sn 2.14, 1 Mg 2.20
O  0.7103  0.0000  0.6950  2 Sn 2.14, 1 Mg 2.20
O  0.2897  0.2897  0.6950  2 Sn 2.14, 1 Mg 2.20
O  0.2897  0.0000  0.3050  2 Sn 2.14, 1 Mg 2.20
O  0.7103  0.7103  0.3050  2 Sn 2.14, 1 Mg 2.20
O  0.6667  0.3333  0.0000  2 Sn 2.02
Mg  0.0000  0.0000  0.5000  6 O 2.20
Sn  0.6667  0.3333  0.2914  4 O 2.02-2.14
Sn  0.3333  0.6667  0.7086  4 O 2.02-2.14
Sn  0.3333  0.6667  0.2914  4 O 2.02-2.14
Sn  0.6667  0.3333  0.7086  4 O 2.02-2.14
Ba  0.0000  0.0000  0.0000  6 O 2.74

---

[3]
VASP calculation (PBE-GGA) on an optimized crystal structure of Ba4MgSn3O12.

Results
Its total energy is -123.12 eV/f.u. Its uncorrected formation energy is -2116 meV per atom.

abc: 7.2683 7.2683 7.2683
angles: 109.47 109.47 109.47
Closest atoms and distances in Å follow each position.
Positions (direct):
O  0.5000  0.7500  0.2500  2 Sn 2.10
O  0.5000  0.2500  0.7500  2 Sn 2.10
O  0.2500  0.5000  0.7500  2 Sn 2.10
O  0.2543  0.2543  0.0000  1 Sn 2.06, 1 Mg 2.13
O  0.0000  0.7457  0.7457  1 Sn 2.06, 1 Mg 2.13
O  0.2500  0.7500  0.5000  2 Sn 2.10
O  0.2543  0.0000  0.2543  1 Sn 2.06, 1 Mg 2.13
O  0.0000  0.2543  0.2543  1 Sn 2.06, 1 Mg 2.13
O  0.7457  0.7457  0.0000  1 Sn 2.06, 1 Mg 2.13
O  0.7500  0.5000  0.2500  2 Sn 2.10
O  0.7500  0.2500  0.5000  2 Sn 2.10
O  0.7457  0.0000  0.7457  1 Sn 2.06, 1 Mg 2.13
Ba  0.0000  0.0000  0.5000  12 O 2.97
Ba  0.0000  0.5000  0.0000  12 O 2.97
Ba  0.5000  0.0000  0.0000  12 O 2.97
Ba  0.5000  0.5000  0.5000  12 O 2.97
Sn  0.5000  0.5000  0.0000  6 O 2.06-2.10
Sn  0.5000  0.0000  0.5000  6 O 2.06-2.10
Sn  0.0000  0.5000  0.5000  6 O 2.06-2.10
Mg  0.0000  0.0000  0.0000  6 O 2.13

---

[4]
VASP calculation (PBE-GGA) on an optimized crystal structure of Ba3MgSn2O9.

Results
Its total energy is -91.46 eV/f.u. Its uncorrected formation energy is -2098 meV per atom.

abc: 5.9087 5.9087 7.3003
angles: 90.00 90.00 120.00
Closest atoms and distances in Å follow each position.
Positions (direct):
O  0.6644  0.8322  0.3316  1 Sn 2.08, 1 Mg 2.11
O  0.0000  0.5000  0.0000  2 Sn 2.10
O  0.8322  0.1678  0.6684  1 Sn 2.08, 1 Mg 2.11
O  0.5000  0.5000  0.0000  2 Sn 2.10
O  0.1678  0.3356  0.3316  1 Sn 2.08, 1 Mg 2.11
O  0.5000  0.0000  0.0000  2 Sn 2.10
O  0.1678  0.8322  0.3316  1 Sn 2.08, 1 Mg 2.11
O  0.8322  0.6644  0.6684  1 Sn 2.08, 1 Mg 2.11
O  0.3356  0.1678  0.6684  1 Sn 2.08, 1 Mg 2.11
Sn  0.3333  0.6667  0.1673  6 O 2.08-2.10
Sn  0.6667  0.3333  0.8327  6 O 2.08-2.10
Ba  0.0000  0.0000  0.0000  12 O 2.95-2.97
Ba  0.6667  0.3333  0.3401  12 O 2.94-3.01
Ba  0.3333  0.6667  0.6599  12 O 2.94-3.01
Mg  0.0000  0.0000  0.5000  6 O 2.11

---

[5]
VASP calculation (PBE-GGA) on an optimized crystal structure of Ba2Mg2SnO6.

Results
Its total energy is -65.04 eV/f.u. Its uncorrected formation energy is -2205 meV per atom.

abc: 6.0680 6.0680 6.6305
angles: 62.77 62.77 60.00
Closest atoms and distances in Å follow each position.
Positions (direct):
O  0.7657  0.7657  0.2389  1 Mg 1.88
O  0.2343  0.7703  0.7611  1 Mg 1.88
O  0.7657  0.2297  0.2389  1 Mg 1.88
O  0.7703  0.2343  0.7611  1 Mg 1.88
O  0.2343  0.2343  0.7611  1 Mg 1.88
O  0.2297  0.7657  0.2389  1 Mg 1.88
Ba  0.2092  0.2092  0.3723  3 O 2.73
Ba  0.7908  0.7908  0.6277  3 O 2.73
Sn  0.0000  0.0000  0.0000  6 O 2.11
Mg  0.5915  0.5915  0.2255  3 O 1.88
Mg  0.4085  0.4085  0.7745  3 O 1.88

---

[6]
VASP calculation (PBE-GGA) on an optimized crystal structure of Ba2MgSnO.

Results
Its total energy is -20.26 eV/f.u. Its uncorrected formation energy is -1173 meV per atom.

abc: 5.7404 5.7404 4.3685
angles: 90.00 90.00 90.00
Closest atoms and distances in Å follow each position.
Positions (direct):
Mg  0.0000  0.0000  0.5000  2 O 2.18
Sn  0.5000  0.5000  0.5000  8 Ba 3.61
Ba  0.0000  0.5000  0.0000  2 O 2.87
Ba  0.5000  0.0000  0.0000  2 O 2.87
O  0.0000  0.0000  0.0000  2 Mg 2.18

---

[7]
VASP calculation (PBE-GGA) on an optimized crystal structure of BaSrMgO2.

Results
Its total energy is -16.76 eV/f.u. Its uncorrected formation energy is -328 meV per atom.

abc: 4.8227 6.2970 4.8227
angles: 90.00 90.00 90.00
Closest atoms and distances in Å follow each position.
Positions (direct):
O  0.5000  0.0000  0.0000  2 Sr 2.41
O  0.0000  0.0000  0.5000  2 Sr 2.41
Ba  0.0000  0.5000  0.0000  2 Sr 3.15, 4 Mg 3.41
Mg  0.5000  0.5000  0.5000  4 Ba 3.41
Sr  0.0000  0.0000  0.0000  4 O 2.41

---

[8]
VASP calculation (PBE-GGA) on an optimized crystal structure of Ba2SrMgO.

Results
Its total energy is -17.15 eV/f.u. Its uncorrected formation energy is -1014 meV per atom.

abc: 5.7849 5.7849 5.0896
angles: 90.00 90.00 90.00
Closest atoms and distances in Å follow each position.
Positions (direct):
Ba  0.5000  0.0000  0.0000  2 O 2.89
Ba  0.0000  0.5000  0.0000  2 O 2.89
O  0.0000  0.0000  0.0000  2 Sr 2.54
Mg  0.5000  0.5000  0.5000  8 Ba 3.85, 4 Sr 4.09
Sr  0.0000  0.0000  0.5000  2 O 2.54

---

What is the uncorrected formation energy in the fourth record? -2098 meV per atom

---

Repeat the second record exactly.
VASP calculation (PBE-GGA) on an optimized crystal structure of BaMgSn4O8.

Results
Its total energy is -82.61 eV/f.u. Its uncorrected formation energy is -1673 meV per atom.

abc: 5.9854 5.9854 6.9453
angles: 90.00 90.00 120.00
Closest atoms and distances in Å follow each position.
Positions (direct):
O  0.3333  0.6667  0.0000  2 Sn 2.02
O  0.0000  0.7103  0.6950  2 Sn 2.14, 1 Mg 2.20
O  0.0000  0.2897  0.3050  2 Sn 2.14, 1 Mg 2.20
O  0.7103  0.0000  0.6950  2 Sn 2.14, 1 Mg 2.20
O  0.2897  0.2897  0.6950  2 Sn 2.14, 1 Mg 2.20
O  0.2897  0.0000  0.3050  2 Sn 2.14, 1 Mg 2.20
O  0.7103  0.7103  0.3050  2 Sn 2.14, 1 Mg 2.20
O  0.6667  0.3333  0.0000  2 Sn 2.02
Mg  0.0000  0.0000  0.5000  6 O 2.20
Sn  0.6667  0.3333  0.2914  4 O 2.02-2.14
Sn  0.3333  0.6667  0.7086  4 O 2.02-2.14
Sn  0.3333  0.6667  0.2914  4 O 2.02-2.14
Sn  0.6667  0.3333  0.7086  4 O 2.02-2.14
Ba  0.0000  0.0000  0.0000  6 O 2.74

---

The highest uncorrected formation energy belongs to which entry? BaSrMgO2